# 1
First-principles (PBE-GGA) data for a relaxed structure of Tb4Ga16Co3, as listed in OQMD.

Its crystal system is tetragonal. The total moment comes out at 0.011 μB/f.u. For the total energy, the calculation gives -100.2 eV/cell.

The structure belongs to space group P4/mmm (No. 123); the cell edges are 6.0225, 6.0225 and 11.1071 Å and the angles 90.00°, 90.00° and 90.00°. The inequivalent atoms are Tb at (0.0000, 0.5000, 0.1949), Ga at (0.0000, 0.0000, 0.1949), Ga at (0.2197, 0.2197, 0.0000), Ga at (0.2503, 0.2503, 0.3848), Ga at (0.5000, 0.5000, 0.2183), Co at (0.0000, 0.5000, 0.5000) and Co at (0.5000, 0.5000, 0.0000).

# 2
First-principles (PBE-GGA) data for a relaxed structure of TbGa5Co, as listed in OQMD.

Its crystal system is tetragonal. The total moment comes out at 0.002 μB/f.u. For the total energy, the calculation gives -30.2 eV/cell.

The structure belongs to space group P4/mmm (No. 123); the cell edges are 4.2211, 4.2211 and 6.8223 Å and the angles 90.00°, 90.00° and 90.00°. The inequivalent atoms are Tb at (0.0000, 0.0000, 0.0000), Ga at (0.0000, 0.5000, 0.3107), Ga at (0.5000, 0.5000, 0.0000) and Co at (0.0000, 0.0000, 0.5000).

# 3
First-principles (PBE-GGA) data for a relaxed structure of Tb4Ga12Co, as listed in OQMD.

Its crystal system is cubic. The total moment comes out at 0.001 μB/f.u. For the total energy, the calculation gives -143.1 eV/cell.

The structure belongs to space group Im-3m (No. 229); the cell edges are 8.5634, 8.5634 and 8.5634 Å and the angles 90.00°, 90.00° and 90.00°. The inequivalent atoms are Tb at (0.2500, 0.2500, 0.2500), Ga at (0.0000, 0.0000, 0.2825), Ga at (0.0000, 0.2500, 0.5000) and Co at (0.0000, 0.0000, 0.0000).

# 4
First-principles (PBE-GGA) data for a relaxed structure of Tb2Ga8Co, as listed in OQMD.

Its crystal system is tetragonal. The total moment comes out at 0.018 μB/f.u. For the total energy, the calculation gives -46.0 eV/cell.

The structure belongs to space group P4/mmm (No. 123); the cell edges are 4.2382, 4.2382 and 11.1306 Å and the angles 90.00°, 90.00° and 90.00°. The inequivalent atoms are Tb at (0.0000, 0.0000, 0.1949), Ga at (0.0000, 0.5000, 0.0000), Ga at (0.0000, 0.5000, 0.3838), Ga at (0.5000, 0.5000, 0.2004) and Co at (0.0000, 0.0000, 0.5000).

# 5
First-principles (PBE-GGA) data for a relaxed structure of Tb4GaCo4, as listed in OQMD.

Its crystal system is monoclinic. The total moment comes out at 0.075 μB/f.u. For the total energy, the calculation gives -105.5 eV/cell.

The structure belongs to space group C2/m (No. 12); the cell edges are 10.1677, 4.0635 and 8.8992 Å and the angles 90.00°, 110.43° and 90.00°. The inequivalent atoms are Tb at (0.1092, 0.0000, 0.3846), Tb at (0.2456, 0.0000, 0.8391), Ga at (0.0000, 0.0000, 0.0000), Co at (0.0372, 0.5000, 0.8543) and Co at (0.0904, 0.5000, 0.6202).

# 6
First-principles (PBE-GGA) data for a relaxed structure of TbGaCo, as listed in OQMD.

Its crystal system is orthorhombic. The total moment comes out at 0.003 μB/f.u. For the total energy, the calculation gives -65.0 eV/cell.

The structure belongs to space group Pnma (No. 62); the cell edges are 7.0748, 4.4274 and 6.8418 Å and the angles 90.00°, 90.00° and 90.00°. The inequivalent atoms are Tb at (0.0250, 0.2500, 0.1946), Ga at (0.1940, 0.2500, 0.6080) and Co at (0.1524, 0.7500, 0.4365).

# 7
First-principles (PBE-GGA) data for a relaxed structure of TbGa2Co3, as listed in OQMD.

Its crystal system is orthorhombic. The total moment comes out at 0.815 μB/f.u. For the total energy, the calculation gives -205.4 eV/cell.

The structure belongs to space group Cmmm (No. 65); the cell edges are 8.9612, 15.5378 and 3.8381 Å and the angles 90.00°, 90.00° and 90.00°. The inequivalent atoms are Tb at (0.0000, 0.0000, 0.0000), Tb at (0.0000, 0.3333, 0.5000), Ga at (0.1581, 0.1582, 0.5000), Ga at (0.1837, 0.5000, 0.5000), Co at (0.0000, 0.1826, 0.0000), Co at (0.0000, 0.5000, 0.0000), Co at (0.2261, 0.4087, 0.0000) and Co at (0.2500, 0.2500, 0.0000).

# 8
First-principles (PBE-GGA) data for a relaxed structure of Ga2CoTc, as listed in OQMD.

Its crystal system is cubic. The total moment comes out at 1.578 μB/f.u. For the total energy, the calculation gives -91.9 eV/cell.

The structure belongs to space group F-43m (No. 216); the cell edges are 6.0262, 6.0262 and 6.0262 Å and the angles 90.00°, 90.00° and 90.00°. The inequivalent atoms are Ga at (0.0000, 0.0000, 0.0000), Ga at (0.2500, 0.2500, 0.2500), Co at (0.2500, 0.2500, 0.7500) and Tc at (0.0000, 0.0000, 0.5000).

# 9
First-principles (PBE-GGA) data for a relaxed structure of GaCoTcW, as listed in OQMD.

Its crystal system is cubic. The total moment comes out at 0.930 μB/f.u. Its energy above the most stable polymorph in this dataset is 0 meV/atom. For the total energy, the calculation gives -134.6 eV/cell.

The structure belongs to space group F-43m (No. 216); the cell edges are 6.0638, 6.0638 and 6.0638 Å and the angles 90.00°, 90.00° and 90.00°. The inequivalent atoms are Ga at (0.0000, 0.0000, 0.0000), Co at (0.2500, 0.2500, 0.2500), Tc at (0.2500, 0.2500, 0.7500) and W at (0.0000, 0.0000, 0.5000).

# 10
First-principles (PBE-GGA) data for a relaxed structure of ZrGaCoTc, as listed in OQMD.

Its crystal system is cubic. The total moment comes out at 2.865 μB/f.u. Its energy above the most stable polymorph in this dataset is 317 meV/atom. For the total energy, the calculation gives -115.1 eV/cell.

The structure belongs to space group F-43m (No. 216); the cell edges are 6.3264, 6.3264 and 6.3264 Å and the angles 90.00°, 90.00° and 90.00°. The inequivalent atoms are Zr at (0.0000, 0.0000, 0.0000), Ga at (0.2500, 0.2500, 0.2500), Co at (0.0000, 0.0000, 0.5000) and Tc at (0.2500, 0.2500, 0.7500).

# 11
First-principles (PBE-GGA) data for a relaxed structure of ZrGaCoTc, as listed in OQMD.

Its crystal system is cubic. The total moment comes out at 0.447 μB/f.u. Its energy above the most stable polymorph in this dataset is 0 meV/atom. For the total energy, the calculation gives -120.2 eV/cell.

The structure belongs to space group F-43m (No. 216); the cell edges are 6.2265, 6.2265 and 6.2265 Å and the angles 90.00°, 90.00° and 90.00°. The inequivalent atoms are Zr at (0.0000, 0.0000, 0.0000), Ga at (0.0000, 0.0000, 0.5000), Co at (0.2500, 0.2500, 0.7500) and Tc at (0.2500, 0.2500, 0.2500).

# 12
First-principles (PBE-GGA) data for a relaxed structure of Ga2CoTe, as listed in OQMD.

Its crystal system is cubic. The total moment comes out at 0.318 μB/f.u. For the total energy, the calculation gives -60.1 eV/cell.

The structure belongs to space group F-43m (No. 216); the cell edges are 6.6002, 6.6002 and 6.6002 Å and the angles 90.00°, 90.00° and 90.00°. The inequivalent atoms are Ga at (0.0000, 0.0000, 0.0000), Ga at (0.2500, 0.2500, 0.2500), Co at (0.2500, 0.2500, 0.7500) and Te at (0.0000, 0.0000, 0.5000).

# 13
First-principles (PBE-GGA) data for a relaxed structure of GaCoTe, as listed in OQMD.

Its crystal system is cubic. The total moment comes out at 0.009 μB/f.u. Its energy above the most stable polymorph in this dataset is 0 meV/atom. For the total energy, the calculation gives -54.2 eV/cell.

The structure belongs to space group F-43m (No. 216); the cell edges are 6.0232, 6.0232 and 6.0232 Å and the angles 90.00°, 90.00° and 90.00°. The inequivalent atoms are Ga at (0.0000, 0.0000, 0.0000), Co at (0.2500, 0.2500, 0.2500) and Te at (0.0000, 0.0000, 0.5000).

# 14
First-principles (PBE-GGA) data for a relaxed structure of Th2Ga5Co3, as listed in OQMD.

Its crystal system is orthorhombic. The total moment comes out at 0.001 μB/f.u. For the total energy, the calculation gives -225.3 eV/cell.

The structure belongs to space group Ibam (No. 72); the cell edges are 9.9402, 12.4290 and 5.6064 Å and the angles 90.00°, 90.00° and 90.00°. The inequivalent atoms are Th at (0.2214, 0.1408, 0.0000), Ga at (0.0000, 0.0000, 0.2500), Ga at (0.0000, 0.2907, 0.2500), Ga at (0.1658, 0.4114, 0.0000), Co at (0.0000, 0.5000, 0.2500) and Co at (0.0992, 0.1468, 0.5000).

# 15
First-principles (PBE-GGA) data for a relaxed structure of Tl2GaCo, as listed in OQMD.

Its crystal system is cubic. The total moment comes out at 1.346 μB/f.u. For the total energy, the calculation gives -49.6 eV/cell.

The structure belongs to space group F-43m (No. 216); the cell edges are 6.9708, 6.9708 and 6.9708 Å and the angles 90.00°, 90.00° and 90.00°. The inequivalent atoms are Tl at (0.0000, 0.0000, 0.0000), Tl at (0.2500, 0.2500, 0.2500), Ga at (0.0000, 0.0000, 0.5000) and Co at (0.2500, 0.2500, 0.7500).

# 16
First-principles (PBE-GGA) data for a relaxed structure of Tl3Ga4Co, as listed in OQMD.

Its crystal system is tetragonal. The total moment comes out at 1.205 μB/f.u. For the total energy, the calculation gives -47.7 eV/cell.

The structure belongs to space group I4/mmm (No. 139); the cell edges are 5.4742, 5.4742 and 12.8705 Å and the angles 90.00°, 90.00° and 90.00°. The inequivalent atoms are Tl at (0.0000, 0.0000, 0.0000), Tl at (0.0000, 0.5000, 0.2500), Ga at (0.0000, 0.0000, 0.3197), Ga at (0.0000, 0.5000, 0.0000) and Co at (0.0000, 0.0000, 0.5000).

# 17
First-principles (PBE-GGA) data for a relaxed structure of TmGa5Co, as listed in OQMD.

Its crystal system is tetragonal. The total moment comes out at 0.003 μB/f.u. For the total energy, the calculation gives -29.9 eV/cell.

The structure belongs to space group P4/mmm (No. 123); the cell edges are 4.1892, 4.1892 and 6.7810 Å and the angles 90.00°, 90.00° and 90.00°. The inequivalent atoms are Tm at (0.0000, 0.0000, 0.0000), Ga at (0.0000, 0.5000, 0.3097), Ga at (0.5000, 0.5000, 0.0000) and Co at (0.0000, 0.0000, 0.5000).

# 18
First-principles (PBE-GGA) data for a relaxed structure of Tm2GaCo, as listed in OQMD.

Its crystal system is orthorhombic. The total moment comes out at 0.003 μB/f.u. For the total energy, the calculation gives -41.4 eV/cell.

The structure belongs to space group Amm2 (No. 38); the cell edges are 4.1879, 3.7764 and 10.4388 Å and the angles 90.00°, 90.00° and 90.00°. The inequivalent atoms are Tm at (0.0000, 0.0000, 0.0000), Tm at (0.5000, 0.0000, 0.2855), Ga at (0.0000, 0.0000, 0.7096) and Co at (0.5000, 0.0000, 0.5761).

# 19
First-principles (PBE-GGA) data for a relaxed structure of UGa5Co, as listed in OQMD.

Its crystal system is tetragonal. The total moment comes out at 0.052 μB/f.u. For the total energy, the calculation gives -35.8 eV/cell.

The structure belongs to space group P4/mmm (No. 123); the cell edges are 4.2284, 4.2284 and 6.6812 Å and the angles 90.00°, 90.00° and 90.00°. The inequivalent atoms are U at (0.0000, 0.0000, 0.0000), Ga at (0.0000, 0.5000, 0.3057), Ga at (0.5000, 0.5000, 0.0000) and Co at (0.0000, 0.0000, 0.5000).

# 20
First-principles (PBE-GGA) data for a relaxed structure of U4Ga12Co, as listed in OQMD.

Its crystal system is cubic. The total moment comes out at 9.352 μB/f.u. For the total energy, the calculation gives -185.8 eV/cell.

The structure belongs to space group Im-3m (No. 229); the cell edges are 8.5463, 8.5463 and 8.5463 Å and the angles 90.00°, 90.00° and 90.00°. The inequivalent atoms are U at (0.2500, 0.2500, 0.2500), Ga at (0.0000, 0.0000, 0.2827), Ga at (0.0000, 0.2500, 0.5000) and Co at (0.0000, 0.0000, 0.0000).

# 21
First-principles (PBE-GGA) data for a relaxed structure of Ga2CoW, as listed in OQMD.

Its crystal system is cubic. The total moment comes out at 1.529 μB/f.u. For the total energy, the calculation gives -99.0 eV/cell.

The structure belongs to space group F-43m (No. 216); the cell edges are 6.1053, 6.1053 and 6.1053 Å and the angles 90.00°, 90.00° and 90.00°. The inequivalent atoms are Ga at (0.0000, 0.0000, 0.0000), Ga at (0.2500, 0.2500, 0.2500), Co at (0.2500, 0.2500, 0.7500) and W at (0.0000, 0.0000, 0.5000).

# 22
First-principles (PBE-GGA) data for a relaxed structure of Ga2Co2W3, as listed in OQMD.

Its crystal system is trigonal. The total moment comes out at 1.141 μB/f.u. For the total energy, the calculation gives -176.0 eV/cell.

The structure belongs to space group R3m (No. 160, hexagonal axes); the cell edges are 4.2848, 4.2848 and 18.6241 Å and the angles 90.00°, 90.00° and 120.00°. The inequivalent atoms are Ga at (0.0000, 0.0000, 0.0000), Ga at (0.0000, 0.0000, 0.4224), Co at (0.0000, 0.0000, 0.1400), Co at (0.0000, 0.0000, 0.7065), W at (0.0000, 0.0000, 0.2776), W at (0.0000, 0.0000, 0.5644) and W at (0.0000, 0.0000, 0.8443).

# 23
First-principles (PBE-GGA) data for a relaxed structure of GaCo2W, as listed in OQMD.

Its crystal system is cubic. The total moment comes out at 0.681 μB/f.u. For the total energy, the calculation gives -118.0 eV/cell.

The structure belongs to space group F-43m (No. 216); the cell edges are 5.8805, 5.8805 and 5.8805 Å and the angles 90.00°, 90.00° and 90.00°. The inequivalent atoms are Ga at (0.0000, 0.0000, 0.0000), Co at (0.0000, 0.0000, 0.5000), Co at (0.2500, 0.2500, 0.7500) and W at (0.2500, 0.2500, 0.2500).

# 24
First-principles (PBE-GGA) data for a relaxed structure of GaCoW2, as listed in OQMD.

Its crystal system is cubic. The total moment comes out at 0.106 μB/f.u. For the total energy, the calculation gives -140.6 eV/cell.

The structure belongs to space group F-43m (No. 216); the cell edges are 6.1451, 6.1451 and 6.1451 Å and the angles 90.00°, 90.00° and 90.00°. The inequivalent atoms are Ga at (0.0000, 0.0000, 0.0000), Co at (0.2500, 0.2500, 0.2500), W at (0.0000, 0.0000, 0.5000) and W at (0.2500, 0.2500, 0.7500).